1.
{
  "formula": "Pa3B9Mo2",
  "functional": "PBE",
  "state": "relaxed",
  "total_energy_ev_per_atom": -8.175,
  "sg": "Immm",
  "n_ef_per_ev_atom": 0.420,
  "rho_g_cm3": 9.78,
  "magnetic_moment_mub_per_fu": 0.000,
  "lattice": [[-1.574, 3.756, 7.054], [1.574, -3.756, 7.054], [1.574, 3.756, -7.054]],
  "species": ["Pa", "Pa", "Pa", "B", "B", "B", "B", "B", "B", "B", "B", "B", "Mo", "Mo"],
  "frac_coords": [[0.000, 0.000, 0.000], [0.279, 0.279, 0.000], [0.721, 0.721, 0.000], [0.003, 0.640, 0.363], [0.111, 0.864, 0.247], [0.278, 0.640, 0.637], [0.382, 0.136, 0.247], [0.500, 0.000, 0.500], [0.618, 0.864, 0.753], [0.722, 0.360, 0.363], [0.889, 0.136, 0.753], [0.997, 0.360, 0.637], [0.306, 0.500, 0.806], [0.694, 0.500, 0.194]]
}

2.
{
  "formula": "Ba2AcF8",
  "functional": "PBE",
  "state": "relaxed",
  "sg": "C2/m",
  "n_ef_per_ev_atom": 1.326,
  "raw_formation_energy_mev_per_atom": -3607,
  "rho_g_cm3": 5.96,
  "magnetic_moment_mub_per_fu": 1.089,
  "lattice": [[7.330, -2.225, 0.000], [7.330, 2.225, 0.000], [-2.572, 0.000, 5.581]],
  "species": ["Ba", "Ba", "Ac", "F", "F", "F", "F", "F", "F", "F", "F"],
  "frac_coords": [[0.178, 0.178, 0.178], [0.822, 0.822, 0.822], [0.500, 0.500, 0.500], [0.000, 0.000, 0.265], [0.000, 0.000, 0.735], [0.185, 0.185, 0.686], [0.358, 0.358, 0.099], [0.358, 0.358, 0.616], [0.642, 0.642, 0.384], [0.642, 0.642, 0.901], [0.815, 0.815, 0.314]]
}

3.
{
  "formula": "NdAl3Pt3",
  "functional": "PBE",
  "state": "relaxed",
  "sg": "Pm-3n",
  "n_ef_per_ev_atom": 0.731,
  "rho_g_cm3": 8.61,
  "polymorph_energy_ev_per_fu": 2.02,
  "magnetic_moment_mub_per_fu": 0.000,
  "lattice": [[6.787, 0.000, 0.000], [0.000, 6.787, 0.000], [0.000, 0.000, 6.787]],
  "species": ["Nd", "Nd", "Al", "Al", "Al", "Al", "Al", "Al", "Pt", "Pt", "Pt", "Pt", "Pt", "Pt"],
  "frac_coords": [[0.000, 0.000, 0.000], [0.500, 0.500, 0.500], [0.000, 0.250, 0.500], [0.000, 0.750, 0.500], [0.250, 0.500, 0.000], [0.500, 0.000, 0.250], [0.500, 0.000, 0.750], [0.750, 0.500, 0.000], [0.000, 0.500, 0.250], [0.000, 0.500, 0.750], [0.250, 0.000, 0.500], [0.500, 0.250, 0.000], [0.500, 0.750, 0.000], [0.750, 0.000, 0.500]]
}

4.
{
  "formula": "ScCd2B2Rh5",
  "functional": "PBE",
  "state": "relaxed",
  "total_energy_ev_per_atom": -6.243,
  "sg": "P4/mbm",
  "n_ef_per_ev_atom": 0.259,
  "rho_g_cm3": 9.42,
  "magnetic_moment_mub_per_fu": 0.000,
  "lattice": [[9.764, 0.000, 0.000], [0.000, 9.764, 0.000], [0.000, 0.000, 2.982]],
  "species": ["Sc", "Sc", "Cd", "Cd", "Cd", "Cd", "B", "B", "B", "B", "Rh", "Rh", "Rh", "Rh", "Rh", "Rh", "Rh", "Rh", "Rh", "Rh"],
  "frac_coords": [[0.000, 0.000, 0.000], [0.500, 0.500, 0.000], [0.179, 0.321, 0.000], [0.321, 0.821, 0.000], [0.679, 0.179, 0.000], [0.821, 0.679, 0.000], [0.122, 0.622, 0.000], [0.378, 0.122, 0.000], [0.622, 0.878, 0.000], [0.878, 0.378, 0.000], [0.000, 0.500, 0.500], [0.068, 0.775, 0.500], [0.225, 0.068, 0.500], [0.275, 0.568, 0.500], [0.432, 0.275, 0.500], [0.500, 0.000, 0.500], [0.568, 0.725, 0.500], [0.725, 0.432, 0.500], [0.775, 0.932, 0.500], [0.932, 0.225, 0.500]]
}

5.
{
  "formula": "SbPS2",
  "functional": "PBE",
  "state": "relaxed",
  "sg": "I-42d",
  "n_ef_per_ev_atom": 0.267,
  "raw_formation_energy_mev_per_atom": 331,
  "rho_g_cm3": 4.43,
  "polymorph_energy_ev_per_fu": 0.80,
  "magnetic_moment_mub_per_fu": 0.000,
  "lattice": [[-3.549, 3.549, 3.230], [3.549, -3.549, 3.230], [3.549, 3.549, -3.230]],
  "species": ["Sb", "Sb", "P", "P", "S", "S", "S", "S"],
  "frac_coords": [[0.000, 0.000, 0.000], [0.750, 0.250, 0.500], [0.250, 0.750, 0.500], [0.500, 0.500, 0.000], [0.159, 0.125, 0.534], [0.375, 0.841, 0.966], [0.591, 0.625, 0.466], [0.875, 0.409, 0.034]]
}

6.
{
  "formula": "SnBiAuN",
  "functional": "PBE",
  "state": "relaxed",
  "sg": "P3m1",
  "n_ef_per_ev_atom": 0.269,
  "raw_formation_energy_mev_per_atom": 294,
  "rho_g_cm3": 10.28,
  "polymorph_energy_ev_per_fu": 0.20,
  "magnetic_moment_mub_per_fu": 0.000,
  "lattice": [[3.573, 0.000, 0.000], [-1.787, 3.095, 0.000], [0.000, 0.000, 7.867]],
  "species": ["Sn", "Bi", "Au", "N"],
  "frac_coords": [[0.000, 0.000, 0.000], [0.667, 0.333, 0.359], [0.333, 0.667, 0.618], [0.333, 0.667, 0.894]]
}

7.
{
  "formula": "KNaSb",
  "functional": "PBE",
  "state": "relaxed",
  "sg": "P3m1",
  "n_ef_per_ev_atom": 0.970,
  "raw_formation_energy_mev_per_atom": -338,
  "rho_g_cm3": 3.07,
  "polymorph_energy_ev_per_fu": 0.00,
  "magnetic_moment_mub_per_fu": 0.000,
  "lattice": [[5.538, 0.000, 0.000], [-2.769, 4.796, 0.000], [0.000, 0.000, 3.745]],
  "species": ["K", "Na", "Sb"],
  "frac_coords": [[0.000, 0.000, 0.000], [0.333, 0.667, 0.497], [0.667, 0.333, 0.502]]
}

8.
{
  "formula": "NdGdHg",
  "functional": "PBE",
  "state": "relaxed",
  "sg": "F-43m",
  "n_ef_per_ev_atom": 1.537,
  "rho_g_cm3": 8.37,
  "polymorph_energy_ev_per_fu": 0.57,
  "magnetic_moment_mub_per_fu": 8.184,
  "lattice": [[0.000, 3.680, 3.680], [3.680, 0.000, 3.680], [3.680, 3.680, 0.000]],
  "species": ["Nd", "Gd", "Hg"],
  "frac_coords": [[0.000, 0.000, 0.000], [0.500, 0.500, 0.500], [0.250, 0.250, 0.250]]
}